Entry 1:
Entry from Alexandria via LeMat-Bulk: crystalline Sm2Al4GePd3 at its relaxed geometry (PBE).

* SG: No. 115
* crystal system: tetragonal

a b c (Å): 4.3278 4.3278 10.2899
angles (deg): 90.00 90.00 90.00
With the nearest neighbours (Å) after each atom.
Fractional positions:
Sm  0.0000  0.5000  0.2490  8 Al 3.27-3.37, 6 Pd 3.32-3.35, 2 Ge 3.35
Sm  0.5000  0.0000  0.7510  8 Al 3.27-3.37, 6 Pd 3.32-3.35, 2 Ge 3.35
Al  0.0000  0.0000  0.5000  4 Pd 2.52
Al  0.0000  0.5000  0.8623  3 Pd 2.43-2.59, 2 Ge 2.59
Al  0.5000  0.0000  0.1377  3 Pd 2.43-2.59, 2 Ge 2.59
Al  0.5000  0.5000  0.5000  4 Pd 2.52
Ge  0.5000  0.5000  0.0000  4 Al 2.59
Pd  0.0000  0.0000  0.0000  4 Al 2.59
Pd  0.0000  0.5000  0.6264  5 Al 2.43-2.52
Pd  0.5000  0.0000  0.3736  5 Al 2.43-2.52

***

Entry 2:
Entry from Alexandria via LeMat-Bulk: crystalline SmAlGePd at its relaxed geometry (PBE).

* SG: No. 8
* crystal system: monoclinic

a b c (Å): 7.4569 4.3118 5.7028
angles (deg): 90.00 115.77 90.00
With the nearest neighbours (Å) after each atom.
Fractional positions:
Sm  0.0000  0.0000  0.0000  4 Ge 3.07-3.34, 4 Pd 3.09-3.22, 3 Al 3.29
Sm  0.5000  0.5000  0.0000  4 Ge 3.07-3.34, 4 Pd 3.09-3.22, 3 Al 3.29
Al  0.0264  0.5000  0.5795  3 Pd 2.49, 3 Ge 2.75
Al  0.5264  0.0000  0.5795  3 Pd 2.49, 3 Ge 2.75
Ge  0.2833  0.5000  0.3506  3 Al 2.75, 3 Pd 2.80, 3 Sm 3.07
Ge  0.7833  0.0000  0.3506  3 Al 2.75, 3 Pd 2.80, 3 Sm 3.07
Pd  0.2005  0.0000  0.6023  3 Al 2.49
Pd  0.7005  0.5000  0.6023  3 Al 2.49

***

Entry 3:
Entry from Alexandria via LeMat-Bulk: crystalline Sm2AlGe4Pd3 at its relaxed geometry (PBE).

* SG: No. 115
* crystal system: tetragonal

a b c (Å): 4.1161 4.1161 11.2467
angles (deg): 90.00 90.00 90.00
With the nearest neighbours (Å) after each atom.
Fractional positions:
Sm  0.0000  0.5000  0.2488  8 Ge 3.15-3.50, 6 Pd 3.18-3.47, 2 Al 3.47
Sm  0.5000  0.0000  0.7512  8 Ge 3.15-3.50, 6 Pd 3.18-3.47, 2 Al 3.47
Al  0.5000  0.5000  0.0000  4 Ge 2.61, 4 Pd 2.91
Ge  0.0000  0.0000  0.5000  4 Pd 2.58
Ge  0.0000  0.5000  0.8571  3 Pd 2.46-2.61, 2 Al 2.61
Ge  0.5000  0.0000  0.1429  3 Pd 2.46-2.61, 2 Al 2.61
Ge  0.5000  0.5000  0.5000  4 Pd 2.58
Pd  0.0000  0.0000  0.0000  4 Ge 2.61, 4 Al 2.91
Pd  0.0000  0.5000  0.6381  5 Ge 2.46-2.58
Pd  0.5000  0.0000  0.3619  5 Ge 2.46-2.58

***

Entry 4:
Entry from Alexandria via LeMat-Bulk: crystalline SmAl2GePd4 at its relaxed geometry (PBE).

* SG: No. 166
* crystal system: trigonal

a b c (Å): 9.0403 9.0403 9.0403
angles (deg): 27.70 27.70 27.70
With the nearest neighbours (Å) after each atom.
Fractional positions:
Sm  0.0000  0.0000  0.0000  6 Pd 3.09, 6 Al 3.42
Al  0.2439  0.2439  0.2439  6 Pd 2.55-2.76
Al  0.7561  0.7561  0.7561  6 Pd 2.55-2.76
Ge  0.5000  0.5000  0.5000  8 Pd 2.52-2.64
Pd  0.1340  0.1340  0.1340  3 Ge 2.64, 4 Al 2.76-2.86
Pd  0.4032  0.4032  0.4032  1 Ge 2.52, 3 Al 2.55
Pd  0.5968  0.5968  0.5968  1 Ge 2.52, 3 Al 2.55
Pd  0.8660  0.8660  0.8660  3 Ge 2.64, 4 Al 2.76-2.86

***

Entry 5:
Entry from Alexandria via LeMat-Bulk: crystalline Sm2AlGePd6 at its relaxed geometry (PBE).

* SG: No. 12
* crystal system: monoclinic

a b c (Å): 5.6915 5.6915 8.1852
angles (deg): 110.38 110.38 60.01
With the nearest neighbours (Å) after each atom.
Fractional positions:
Sm  0.2082  0.2082  0.1238  9 Pd 3.01-3.28
Sm  0.7918  0.7918  0.8762  9 Pd 3.01-3.28
Al  0.5000  0.5000  0.0000  6 Pd 2.51
Ge  0.0000  0.0000  0.5000  6 Pd 2.47-2.48
Pd  0.2493  0.2493  0.7465  1 Ge 2.47, 1 Al 2.51
Pd  0.2488  0.7462  0.7458  1 Ge 2.48, 1 Al 2.51
Pd  0.2538  0.7512  0.2542  1 Ge 2.48, 1 Al 2.51
Pd  0.7462  0.2488  0.7458  1 Ge 2.48, 1 Al 2.51
Pd  0.7512  0.2538  0.2542  1 Ge 2.48, 1 Al 2.51
Pd  0.7507  0.7507  0.2535  1 Ge 2.47, 1 Al 2.51

***

Entry 6:
Entry from Alexandria via LeMat-Bulk: crystalline SrAlGe2Pd at its relaxed geometry (PBE).

* SG: No. 119
* crystal system: tetragonal
* polymorph energy (0 for the lowest one): 0.0 kJ per mole of atoms

a b c (Å): 4.2938 4.2938 11.0336
angles (deg): 90.00 90.00 90.00
With the nearest neighbours (Å) after each atom.
Fractional positions:
Sr  0.0000  0.0000  0.0000  8 Ge 3.30, 4 Al 3.50, 4 Pd 3.50
Sr  0.5000  0.5000  0.5000  8 Ge 3.30, 4 Al 3.50, 4 Pd 3.50
Al  0.0000  0.5000  0.2500  4 Ge 2.60
Al  0.5000  0.0000  0.7500  4 Ge 2.60
Ge  0.0000  0.0000  0.3824  1 Ge 2.60, 2 Al 2.60, 2 Pd 2.60
Ge  0.0000  0.0000  0.6176  1 Ge 2.60, 2 Al 2.60, 2 Pd 2.60
Ge  0.5000  0.5000  0.1176  1 Ge 2.60, 2 Al 2.60, 2 Pd 2.60
Ge  0.5000  0.5000  0.8824  1 Ge 2.60, 2 Al 2.60, 2 Pd 2.60
Pd  0.0000  0.5000  0.7500  4 Ge 2.60
Pd  0.5000  0.0000  0.2500  4 Ge 2.60

***

| no. | calculated total energy (eV for the cell shown) |
| --- | --- |
| 1 | -52.379 |
| 2 | -42.394 |
| 3 | -54.842 |
| 4 | -43.240 |
| 5 | -55.490 |
| 6 | -45.567 |